[1]
ZnAuN2 (PBE, relaxed); space group = Fm-3m; E above lowest polymorph = 2.239 eV per formula unit; final energy = -14.679 eV per cell; formation energy without anion corrections = 1.631 eV per atom
1.0
2.124 -0.665 3.320
-0.890 1.960 3.367
-1.652 -1.952 3.072
Zn Au N
1 1 2
direct
0.000 0.000 0.000
0.500 0.500 0.500
0.250 0.250 0.250
0.750 0.750 0.750

=====

[2]
Pa2NiGe4Ir3 (PBE, relaxed); space group = P-4m2; final energy = -76.090 eV per cell; DFT formation energy = -6.3 eV/f.u.
1.0
-0.608 1.292 -3.946
0.766 -3.884 -1.390
-9.790 -2.212 0.785
Pa Ni Ge Ir
2 1 4 3
direct
0.500 0.000 0.256
0.000 0.500 0.744
0.500 0.500 0.500
0.500 0.500 0.000
0.000 0.000 0.000
0.500 0.000 0.627
0.000 0.500 0.373
0.000 0.000 0.500
0.500 0.000 0.867
0.000 0.500 0.133

=====

[3]
BaYRh (PBE, relaxed); space group = P3m1; E above lowest polymorph = 0.328 eV per formula unit; final energy = -16.643 eV per cell; DFT formation energy = -0.9 eV/f.u.
1.0
-2.338 -2.918 -1.987
4.045 0.583 -1.105
1.933 -4.682 4.601
Ba Rh Y
1 1 1
direct
0.000 0.000 0.083
0.667 0.333 0.368
0.333 0.667 0.550

=====

[4]
LiBe2Se (PBE, relaxed); space group = Pm; final energy = -13.027 eV per cell; formation energy without anion corrections = -0.044 eV per atom
1.0
3.330 0.000 0.000
0.000 3.375 -0.004
0.000 1.708 5.679
Be Li Se
2 1 1
direct
0.000 0.636 0.104
0.500 0.140 0.097
0.000 0.953 0.462
0.500 0.771 0.836

=====

Calculated density list, top to bottom, in Mg/m³: 10.7; 13.0; 5.1; 2.7